1.
FeSiTcIr, relaxed, DFT PBE-GGA; final energy = -33.050 eV/f.u.
1.0
0.000 2.983 2.983
2.983 0.000 2.983
2.983 2.983 0.000
Fe Si Tc Ir
1 1 1 1
Direct
0.000 0.000 0.000 Fe
0.750 0.750 0.750 Si
0.500 0.500 0.500 Tc
0.250 0.250 0.250 Ir

=====

2.
FeSiIrW, relaxed, DFT PBE-GGA; final energy = -35.532 eV/f.u.
1.0
0.000 3.017 3.017
3.017 0.000 3.017
3.017 3.017 0.000
Fe Si Ir W
1 1 1 1
Direct
0.000 0.000 0.000 Fe
0.750 0.750 0.750 Si
0.500 0.500 0.500 Ir
0.250 0.250 0.250 W

=====

3.
FeSiIrW, relaxed, DFT PBE-GGA; final energy = -35.336 eV/f.u.
1.0
0.000 3.022 3.022
3.022 0.000 3.022
3.022 3.022 0.000
Fe Si Ir W
1 1 1 1
Direct
0.000 0.000 0.000 Fe
0.750 0.750 0.750 Si
0.250 0.250 0.250 Ir
0.500 0.500 0.500 W